Computed, not measured: an optimized crystal structure of KRbZnHgAs2 at the PBE level of DFT.

Lattice parameters (Å, degrees): 4.4716 4.4716 10.5922 90.00 90.00 120.00
Last column: nearest neighbours and their distance in Å.
Space group P3m1 (No. 156)
Inequivalent atoms, fractional coordinates:
K: 0.0000 0.0000 0.0000 [1 per cell]  3 Zn 3.60, 6 As 3.62-3.66, 3 Hg 3.63
Rb: 0.0000 0.0000 0.4959 [1 per cell]  6 As 3.74-3.77, 3 Zn 3.76, 3 Hg 3.80
Zn: 0.6667 0.3333 0.2375 [1 per cell]  3 As 2.58
Hg: 0.3333 0.6667 0.7594 [1 per cell]  3 As 2.58
As: 0.3333 0.6667 0.2398 [1 per cell]  3 Zn 2.58
As: 0.6667 0.3333 0.7548 [1 per cell]  3 Hg 2.58

Results
E_tot (Ry/atom): -0.187
Theoretical density (g/cm³): 4.9